[1]
{
  "formula": "LiBe4Ir",
  "functional": "GGA-PBEsol",
  "state": "optimized geometry",
  "lattice_angstrom": [[-3.187, -1.109, -2.623], [-1.453, -4.019, -0.017], [-3.868, -0.881, 1.590]],
  "species": ["Be", "Be", "Be", "Be", "Ir", "Li"],
  "frac_coords": [[0.872, 0.376, 0.376], [0.376, 0.872, 0.376], [0.376, 0.376, 0.376], [0.376, 0.376, 0.872], [0.750, 0.750, 0.750], [0.000, 0.000, 0.000]],
  "spacegroup": "F-43m",
  "ef_ev_per_atom": -0.293,
  "crystal_system": "cubic"
}

[2]
{
  "formula": "Y15C19",
  "functional": "GGA-PBEsol",
  "state": "optimized geometry",
  "lattice_angstrom": [[8.082, 0.000, 0.000], [0.000, 8.082, 0.000], [0.000, 0.000, 15.315]],
  "species": ["Y", "Y", "Y", "Y", "Y", "Y", "Y", "Y", "Y", "Y", "Y", "Y", "Y", "Y", "Y", "Y", "Y", "Y", "Y", "Y", "Y", "Y", "Y", "Y", "Y", "Y", "Y", "Y", "Y", "Y", "C", "C", "C", "C", "C", "C", "C", "C", "C", "C", "C", "C", "C", "C", "C", "C", "C", "C", "C", "C", "C", "C", "C", "C", "C", "C", "C", "C", "C", "C", "C", "C", "C", "C", "C", "C", "C", "C"],
  "frac_coords": [[0.098, 0.285, 0.849], [0.000, 0.000, 0.669], [0.202, 0.594, 0.000], [0.715, 0.098, 0.151], [0.098, 0.285, 0.151], [0.094, 0.702, 0.500], [0.406, 0.202, 0.000], [0.285, 0.902, 0.151], [0.715, 0.098, 0.849], [0.285, 0.902, 0.849], [0.000, 0.000, 0.331], [0.702, 0.906, 0.500], [0.798, 0.406, 0.000], [0.902, 0.715, 0.151], [0.402, 0.785, 0.349], [0.298, 0.094, 0.500], [0.215, 0.402, 0.651], [0.902, 0.715, 0.849], [0.000, 0.000, 0.000], [0.785, 0.598, 0.349], [0.598, 0.215, 0.349], [0.215, 0.402, 0.349], [0.785, 0.598, 0.651], [0.906, 0.298, 0.500], [0.594, 0.798, 0.000], [0.500, 0.500, 0.169], [0.500, 0.500, 0.831], [0.402, 0.785, 0.651], [0.598, 0.215, 0.651], [0.500, 0.500, 0.500], [0.500, 0.500, 0.663], [0.848, 0.348, 0.750], [0.152, 0.652, 0.250], [0.399, 0.803, 0.500], [0.101, 0.303, 0.000], [0.152, 0.652, 0.750], [0.904, 0.303, 0.329], [0.303, 0.899, 0.000], [0.197, 0.596, 0.171], [0.404, 0.197, 0.829], [0.899, 0.697, 0.000], [0.803, 0.601, 0.500], [0.303, 0.096, 0.329], [0.596, 0.803, 0.829], [0.000, 0.000, 0.837], [0.348, 0.152, 0.250], [0.404, 0.197, 0.171], [0.803, 0.404, 0.829], [0.904, 0.303, 0.671], [0.652, 0.848, 0.750], [0.500, 0.500, 0.000], [0.000, 0.000, 0.500], [0.197, 0.399, 0.500], [0.697, 0.101, 0.000], [0.697, 0.904, 0.329], [0.848, 0.348, 0.250], [0.096, 0.697, 0.671], [0.197, 0.596, 0.829], [0.596, 0.803, 0.171], [0.096, 0.697, 0.329], [0.500, 0.500, 0.337], [0.303, 0.096, 0.671], [0.652, 0.848, 0.250], [0.000, 0.000, 0.163], [0.803, 0.404, 0.171], [0.601, 0.197, 0.500], [0.697, 0.904, 0.671], [0.348, 0.152, 0.750]],
  "spacegroup": "P4/mnc",
  "ef_ev_per_atom": -0.364,
  "crystal_system": "tetragonal"
}

no.,N(E_F) (states/eV/cell),mass density (g/cm3),M_tot (μB per cell)
1,2.73,7.08,0.0
2,14.98,5.18,0.0